This record from Alexandria describes Be2Si after structural relaxation. The functional is PBE.

a = 3.737 Å, b = 3.737 Å, c = 3.737 Å
α = 60.00°, β = 60.00°, γ = 60.00°
Fractional positions:
Be 0.750 0.750 0.750
Be 0.250 0.250 0.250
Si 0.000 0.000 0.000

Computed properties:
space group: Fm-3m, No. 225
M_tot: 0.00 μB/f.u.
energy relative to the elements, uncorrected: 0.23 eV/atom
distance to the lowest polymorph of the same formula: 94.2 meV per atom
E_tot: -12.2 eV/f.u.